Entry 1:
Below is a geometry-optimized K3Np3InS8 structure, with properties calculated at the GGA-PBE level.

a b c (Å): 8.0762 8.1204 8.7947
angles (deg): 117.60 90.00 119.84
Last column: magnetic moment on the atom in μB.
Positions (direct):
Np 0.5000 0.5000 0.5000  3.63
Np 0.5000 0.0000 0.5000  -3.51
Np 0.0000 0.5000 0.5000  3.63
K 0.0000 0.0000 0.0000  0.00
K 0.0000 0.5000 0.0000  0.00
K 0.5000 0.5000 0.0000  0.00
S 0.2663 0.5325 0.2991  -0.03
S 0.2646 0.0344 0.3052  0.00
S 0.7337 0.4675 0.7009  -0.03
S 0.7354 0.9656 0.6948  0.00
S 0.7700 0.5399 0.3075  -0.07
S 0.2302 0.9656 0.6949  0.00
S 0.7698 0.0344 0.3051  0.00
S 0.2300 0.4601 0.6925  -0.07
In 0.0000 0.0000 0.5000  0.04

Properties
raw total energy = -96.2 eV per formula unit
E_form (uncorrected) = -18.31 eV/f.u.

---

Entry 2:
Below is a geometry-optimized NaPaSeS structure, with properties calculated at the GGA-PBE level.

a b c (Å): 3.9249 3.9249 7.7558
angles (deg): 89.99 104.66 120.00
Last column: magnetic moment on the atom in μB.
Positions (direct):
Na 0.1361 0.9658 0.1175  0.00
Pa 0.4640 0.1301 0.6092  1.54
Se 0.2982 0.5471 0.8605  -0.03
S 0.9796 0.3879 0.3825  -0.04

Properties
raw total energy = -23.6 eV per formula unit
E_form (uncorrected) = -5.22 eV/f.u.

---

Entry 3:
Below is a geometry-optimized TaAgSe2 structure, with properties calculated at the GGA-PBE level.

a b c (Å): 8.3179 8.3179 8.3179
angles (deg): 23.68 23.68 23.68
Positions (direct):
Se 0.9883 0.9883 0.9883
Se 0.5117 0.5117 0.5117
Ta 0.2500 0.2500 0.2500
Ag 0.7500 0.7500 0.7500

Properties
raw total energy = -23.2 eV per formula unit
E_form (uncorrected) = -1.52 eV/f.u.

---

What is the raw total energy in the first record?
-96.2 eV per formula unit

---

Among the records above, which one has the highest E_form (uncorrected)?
TaAgSe2

---

Among the records above, which one has the lowest raw total energy?
K3Np3InS8

---

Among the records above, which one has the highest raw total energy?
TaAgSe2